# 1
Crystalline Al3OsI at its relaxed geometry. Source: the Alexandria database, functional PBE.

Total DFT energy (no corrections) ... -4.7194 eV/atom
Total magnetic moment ... 0.0 μB per cell
E above lowest polymorph ... 0 meV/atom
Uncorrected formation energy ... 7.9 kJ per mole of atoms

Cell lengths 4.8968, 4.8968, 4.8968 Å; angles 90.00, 90.00, 90.00 degrees
Atoms (fractional coordinates):
Al (0.0000, 0.0000, 0.5000)
Al (0.0000, 0.5000, 0.0000)
Al (0.5000, 0.0000, 0.0000)
Os (0.0000, 0.0000, 0.0000)
I (0.5000, 0.5000, 0.5000)

# 2
Crystalline Al4OsI2 at its relaxed geometry. Source: the Alexandria database, functional PBE.

Total DFT energy (no corrections) ... -4.2894 eV/atom
Total magnetic moment ... 0.0 μB per cell
Uncorrected formation energy ... -10.0 kJ per mole of atoms

Cell lengths 4.8689, 4.8689, 16.3465 Å; angles 90.00, 90.00, 90.00 degrees
Atoms (fractional coordinates):
Al (0.0000, 0.0000, 0.1420)
Al (0.0000, 0.0000, 0.8580)
Al (0.0000, 0.5000, 0.0000)
Al (0.0000, 0.5000, 0.5000)
Al (0.5000, 0.0000, 0.0000)
Al (0.5000, 0.0000, 0.5000)
Al (0.5000, 0.5000, 0.3580)
Al (0.5000, 0.5000, 0.6420)
Os (0.0000, 0.0000, 0.0000)
Os (0.5000, 0.5000, 0.5000)
I (0.0000, 0.0000, 0.3040)
I (0.0000, 0.0000, 0.6960)
I (0.5000, 0.5000, 0.1960)
I (0.5000, 0.5000, 0.8040)

# 3
Crystalline Al2Os2I at its relaxed geometry. Source: the Alexandria database, functional PBE.

Total DFT energy (no corrections) ... -5.7148 eV/atom
Total magnetic moment ... 0.0 μB per cell
E above lowest polymorph ... 102 meV/atom
Uncorrected formation energy ... 56.4 kJ per mole of atoms

Cell lengths 8.0781, 8.0781, 2.7004 Å; angles 90.00, 90.00, 90.00 degrees
Atoms (fractional coordinates):
Al (0.1530, 0.3470, 0.0000)
Al (0.3470, 0.8470, 0.0000)
Al (0.6530, 0.1530, 0.0000)
Al (0.8470, 0.6530, 0.0000)
Os (0.1350, 0.6350, 0.5000)
Os (0.3650, 0.1350, 0.5000)
Os (0.6350, 0.8650, 0.5000)
Os (0.8650, 0.3650, 0.5000)
I (0.0000, 0.0000, 0.0000)
I (0.5000, 0.5000, 0.0000)

# 4
Crystalline AlOs2PdI at its relaxed geometry. Source: the Alexandria database, functional PBE.

Total DFT energy (no corrections) ... -4.8007 eV/atom
Total magnetic moment ... 3.9 μB per cell
Uncorrected formation energy ... 172.5 kJ per mole of atoms

Cell lengths 4.9379, 4.9379, 4.5782 Å; angles 90.00, 90.00, 90.00 degrees
Atoms (fractional coordinates):
Al (0.0000, 0.0000, 0.0000)
Os (0.0000, 0.5000, 0.5000)
Os (0.5000, 0.0000, 0.5000)
Pd (0.0000, 0.0000, 0.5000)
I (0.5000, 0.5000, 0.0000)

# 5
Crystalline AlSbOsI2 at its relaxed geometry. Source: the Alexandria database, functional PBE.

Total DFT energy (no corrections) ... -3.0396 eV/atom
Total magnetic moment ... 3.5 μB per cell
E above lowest polymorph ... 687 meV/atom
Uncorrected formation energy ... 135.0 kJ per mole of atoms

Cell lengths 5.3270, 5.3270, 5.5162 Å; angles 90.00, 90.00, 90.00 degrees
Atoms (fractional coordinates):
Al (0.0000, 0.0000, 0.0000)
Sb (0.0000, 0.0000, 0.5000)
Os (0.5000, 0.5000, 0.5000)
I (0.0000, 0.5000, 0.0000)
I (0.5000, 0.0000, 0.0000)

# 6
Crystalline AlSbOsI2 at its relaxed geometry. Source: the Alexandria database, functional PBE.

Total DFT energy (no corrections) ... -3.7261 eV/atom
Total magnetic moment ... 0.0 μB per cell
E above lowest polymorph ... 0 meV/atom
Uncorrected formation energy ... 68.8 kJ per mole of atoms

Cell lengths 5.6594, 5.6594, 4.9972 Å; angles 90.00, 90.00, 90.00 degrees
Atoms (fractional coordinates):
Al (0.0000, 0.0000, 0.0000)
Sb (0.5000, 0.5000, 0.0000)
Os (0.5000, 0.5000, 0.5000)
I (0.0000, 0.5000, 0.5000)
I (0.5000, 0.0000, 0.5000)

# 7
Crystalline AlOs2SeI at its relaxed geometry. Source: the Alexandria database, functional PBE.

Total DFT energy (no corrections) ... -3.9051 eV/atom
Total magnetic moment ... 2.9 μB per cell
Uncorrected formation energy ... 226.0 kJ per mole of atoms

Cell lengths 4.8864, 4.8864, 5.5658 Å; angles 90.00, 90.00, 90.00 degrees
Atoms (fractional coordinates):
Al (0.0000, 0.0000, 0.0000)
Os (0.0000, 0.5000, 0.5000)
Os (0.5000, 0.0000, 0.5000)
Se (0.5000, 0.5000, 0.0000)
I (0.5000, 0.5000, 0.5000)

# 8
Crystalline TaAlOsI2 at its relaxed geometry. Source: the Alexandria database, functional PBE.

Total DFT energy (no corrections) ... -4.6960 eV/atom
Total magnetic moment ... 0.2 μB per cell
Uncorrected formation energy ... 124.4 kJ per mole of atoms

Cell lengths 5.5383, 5.5383, 4.8385 Å; angles 90.00, 90.00, 90.00 degrees
Atoms (fractional coordinates):
Ta (0.0000, 0.0000, 0.0000)
Al (0.5000, 0.5000, 0.0000)
Os (0.0000, 0.0000, 0.5000)
I (0.0000, 0.5000, 0.5000)
I (0.5000, 0.0000, 0.5000)

# 9
Crystalline AlTe2OsI at its relaxed geometry. Source: the Alexandria database, functional PBE.

Total DFT energy (no corrections) ... -3.8726 eV/atom
Total magnetic moment ... 0.3 μB per cell
E above lowest polymorph ... 0 meV/atom
Uncorrected formation energy ... 66.4 kJ per mole of atoms

Cell lengths 5.1865, 5.1865, 5.7857 Å; angles 90.00, 90.00, 90.00 degrees
Atoms (fractional coordinates):
Al (0.0000, 0.0000, 0.0000)
Te (0.0000, 0.5000, 0.5000)
Te (0.5000, 0.0000, 0.5000)
Os (0.5000, 0.5000, 0.5000)
I (0.5000, 0.5000, 0.0000)

# 10
Crystalline AlTe2OsI at its relaxed geometry. Source: the Alexandria database, functional PBE.

Total DFT energy (no corrections) ... -3.2115 eV/atom
Total magnetic moment ... 4.0 μB per cell
E above lowest polymorph ... 661 meV/atom
Uncorrected formation energy ... 130.2 kJ per mole of atoms

Cell lengths 5.3420, 5.3420, 5.2784 Å; angles 90.00, 90.00, 90.00 degrees
Atoms (fractional coordinates):
Al (0.0000, 0.0000, 0.0000)
Te (0.0000, 0.5000, 0.0000)
Te (0.5000, 0.0000, 0.0000)
Os (0.5000, 0.5000, 0.5000)
I (0.0000, 0.0000, 0.5000)

# 11
Crystalline AlOsWI2 at its relaxed geometry. Source: the Alexandria database, functional PBE.

Total DFT energy (no corrections) ... -4.4257 eV/atom
Total magnetic moment ... 4.6 μB per cell
Uncorrected formation energy ... 171.7 kJ per mole of atoms

Cell lengths 5.4245, 5.4245, 4.7074 Å; angles 90.00, 90.00, 90.00 degrees
Atoms (fractional coordinates):
Al (0.0000, 0.0000, 0.0000)
Os (0.0000, 0.0000, 0.5000)
W (0.5000, 0.5000, 0.0000)
I (0.0000, 0.5000, 0.5000)
I (0.5000, 0.0000, 0.5000)

# 12
Crystalline Al3PI at its relaxed geometry. Source: the Alexandria database, functional PBE.

Total DFT energy (no corrections) ... -3.2567 eV/atom
Total magnetic moment ... 0.0 μB per cell
E above lowest polymorph ... 0 meV/atom
Uncorrected formation energy ... 36.7 kJ per mole of atoms

Cell lengths 5.0153, 5.0153, 5.0153 Å; angles 90.00, 90.00, 90.00 degrees
Atoms (fractional coordinates):
Al (0.0000, 0.0000, 0.5000)
Al (0.0000, 0.5000, 0.0000)
Al (0.5000, 0.0000, 0.0000)
P (0.0000, 0.0000, 0.0000)
I (0.5000, 0.5000, 0.5000)

Q: Among the records above, which one has the highest total DFT energy (no corrections)?
A: number 5

Please write out number 6 again, unchanged.
Crystalline AlSbOsI2 at its relaxed geometry. Source: the Alexandria database, functional PBE.

Total DFT energy (no corrections) ... -3.7261 eV/atom
Total magnetic moment ... 0.0 μB per cell
E above lowest polymorph ... 0 meV/atom
Uncorrected formation energy ... 68.8 kJ per mole of atoms

Cell lengths 5.6594, 5.6594, 4.9972 Å; angles 90.00, 90.00, 90.00 degrees
Atoms (fractional coordinates):
Al (0.0000, 0.0000, 0.0000)
Sb (0.5000, 0.5000, 0.0000)
Os (0.5000, 0.5000, 0.5000)
I (0.0000, 0.5000, 0.5000)
I (0.5000, 0.0000, 0.5000)

Q: What is the uncorrected formation energy in the sixth record?
A: 68.8 kJ per mole of atoms